Entry A
First-principles (PBE) data for a relaxed structure of KNaReIr, as listed in the Open Quantum Materials Database.

Space group: F-43m (216)
Calculated volume: 84.1 Å³/cell
M_tot: 3.8 μB/f.u.

POSCAR file:
```
KNaReIr
1.0
0.000 3.477 3.477
3.477 0.000 3.477
3.477 3.477 0.000
Ir Na Re K
1 1 1 1
direct
0.000 0.000 0.000 Ir
0.750 0.750 0.750 Na
0.500 0.500 0.500 Re
0.250 0.250 0.250 K
```

=====

Entry B
First-principles (PBE) data for a relaxed structure of KNaReIr, as listed in the Open Quantum Materials Database.

Space group: F-43m (216)
Calculated volume: 72.1 Å³/cell
M_tot: 0.1 μB/f.u.

POSCAR file:
```
KNaReIr
1.0
-0.912 1.776 4.224
-3.559 -1.676 2.521
0.842 -2.537 3.832
Ir Re Na K
1 1 1 1
direct
0.500 0.500 0.500 Ir
0.250 0.250 0.250 Re
0.750 0.750 0.750 Na
0.000 0.000 0.000 K
```

=====

Which of them is least stable? Easy: entry A.

=====

Entry A
First-principles (PBE) data for a relaxed structure of KIrSO, as listed in the Open Quantum Materials Database.

Space group: P2_1 (4)
Calculated volume: 330.7 Å³/cell
M_tot: 0.0 μB/f.u.

POSCAR file:
```
KIrSO
1.0
4.913 0.000 0.000
0.000 5.040 0.000
-0.420 -0.003 13.356
Ir S O K
4 4 4 4
direct
0.971 0.896 0.095 Ir
0.455 0.708 0.905 Ir
0.545 0.208 0.095 Ir
0.029 0.396 0.905 Ir
0.235 0.052 0.826 S
0.269 0.050 0.225 S
0.765 0.553 0.174 S
0.731 0.550 0.775 S
0.148 0.275 0.043 O
0.852 0.775 0.957 O
0.640 0.331 0.958 O
0.360 0.831 0.042 O
0.779 0.040 0.339 K
0.221 0.540 0.661 K
0.281 0.547 0.330 K
0.719 0.047 0.670 K
```

=====

Entry B
First-principles (PBE) data for a relaxed structure of KIrSO, as listed in the Open Quantum Materials Database.

Space group: P-1 (2)
Calculated volume: 275.7 Å³/cell
M_tot: 0.0 μB/f.u.

POSCAR file:
```
KIrSO
1.0
-3.203 5.966 -1.379
-5.997 -2.684 1.898
1.786 0.114 5.869
O S K Ir
4 4 4 4
direct
0.625 0.365 0.130 O
0.626 0.131 0.630 O
0.375 0.635 0.870 O
0.374 0.869 0.370 O
0.312 0.115 0.858 S
0.688 0.885 0.142 S
0.312 0.389 0.359 S
0.688 0.611 0.641 S
0.081 0.729 0.504 K
0.922 0.228 0.999 K
0.078 0.772 0.001 K
0.919 0.271 0.496 K
0.483 0.378 0.753 Ir
0.483 0.122 0.253 Ir
0.517 0.622 0.247 Ir
0.517 0.878 0.747 Ir
```

=====

Which of them is least stable? Easy: entry A.